# CoP6W3O24

A geometry-optimized CoP6W3O24 structure (PBE with a Hubbard U, Alexandria).

Cell lengths 8.9386, 8.9386, 8.9386 Å; angles 58.46, 58.46, 58.46 degrees
Last column: nearest neighbours and their distance in Å.
Positions (direct):
O (0.7634, 0.6426, 0.0141)  1 P 1.56
O (0.8743, 0.6912, 0.5162)  1 P 1.58
O (0.0141, 0.7634, 0.6426)  1 P 1.56
O (0.4127, 0.5909, 0.7779)  1 P 1.59
P (0.7528, 0.4624, 0.0377)  4 O 1.48-1.58
P (0.4624, 0.0377, 0.7528)  4 O 1.48-1.58
O (0.3552, 0.9766, 0.2515)  1 P 1.49
O (0.6912, 0.5162, 0.8743)  1 P 1.58
O (0.6426, 0.0141, 0.7634)  1 P 1.56
O (0.2905, 0.5074, 0.1255)  1 P 1.56
P (0.0377, 0.7528, 0.4624)  4 O 1.48-1.58
O (0.3002, 0.0321, 0.9298)  1 P 1.48
O (0.0720, 0.7031, 0.9488)  1 P 1.55
O (0.2186, 0.5837, 0.4278)  1 P 1.55
O (0.7779, 0.4127, 0.5909)  1 P 1.59
O (0.9766, 0.2515, 0.3552)  1 P 1.49
O (0.7031, 0.9488, 0.0720)  1 P 1.55
O (0.2515, 0.3552, 0.9766)  1 P 1.49
O (0.5162, 0.8743, 0.6912)  1 P 1.58
O (0.4278, 0.2186, 0.5837)  1 P 1.55
O (0.9298, 0.3002, 0.0321)  1 P 1.48
P (0.2513, 0.5280, 0.9639)  4 O 1.49-1.59
O (0.5074, 0.1255, 0.2905)  1 P 1.56
O (0.9488, 0.0720, 0.7031)  1 P 1.55
P (0.9639, 0.2513, 0.5280)  4 O 1.49-1.59
P (0.5280, 0.9639, 0.2513)  4 O 1.49-1.59
O (0.1255, 0.2905, 0.5074)  1 P 1.56
W (0.8566, 0.8566, 0.8566)  6 O 1.99-2.00
Co (0.1410, 0.1410, 0.1410)  6 O 2.05-2.08
O (0.5837, 0.4278, 0.2186)  1 P 1.55
O (0.0321, 0.9298, 0.3002)  1 P 1.48
W (0.3573, 0.3573, 0.3573)  6 O 1.98-2.00
W (0.6427, 0.6427, 0.6427)  6 O 1.93
O (0.5909, 0.7779, 0.4127)  1 P 1.59

Properties
- Total energy: -247.6 eV for the cell shown
- Symmetry: R3
- Size of the total moment: 5.25 μB per formula unit
- Fermi-level density of states: 8.454 states/eV/f.u.